1) A plane-wave DFT calculation with PBE was carried out for a geometry-optimized Li2HgO structure.

Cell: 3.1845 3.1845 6.7963 Å, 76.45 76.45 60.00°
Fractional coordinates of all 4 atoms:
Li1 0.0348 0.0348 0.8957
Li2 0.2974 0.2974 0.1078
Hg1 0.5033 0.5033 0.4901
O1 0.6645 0.6645 0.0065

Summary:
Mass density in g cm⁻³: 6.7
SG: R3m, No. 160
DOS(E_F) in states/eV/f.u.: 0.9

***

2) A plane-wave DFT calculation with PBE was carried out for a geometry-optimized Li2HgO structure.

Cell: 4.2975 4.2975 4.2975 Å, 60.00 60.00 60.00°
Fractional coordinates of all 4 atoms:
Hg1 0.5000 0.5000 0.5000
O1 0.0000 0.0000 0.0000
Li1 0.2500 0.2500 0.2500
Li2 0.7500 0.7500 0.7500

Summary:
Mass density in g cm⁻³: 6.8
SG: Fm-3m, No. 225
DOS(E_F) in states/eV/f.u.: 0.0

***

3) A plane-wave DFT calculation with PBE was carried out for a geometry-optimized Li2HgO structure.

Cell: 5.9089 5.9089 5.8969 Å, 59.93 59.93 90.00°
Fractional coordinates of all 8 atoms:
Hg1 0.0000 0.0000 0.0000
Hg2 0.7500 0.2500 0.5000
O1 0.5000 0.5000 0.0000
O2 0.2500 0.7500 0.5000
Li1 0.3768 0.1250 0.2500
Li2 0.3732 0.6250 0.2500
Li3 0.3750 0.6232 0.7500
Li4 0.8750 0.6268 0.7500

Summary:
Mass density in g cm⁻³: 5.3
SG: I-42d, No. 122
DOS(E_F) in states/eV/f.u.: 0.0

***

Verdict on stability: 1) comes out on top.

***

1) A plane-wave DFT calculation with PBE was carried out for a geometry-optimized LiHg3Os structure.

Cell: 5.2538 5.2538 5.2538 Å, 90.00 90.00 90.00°
Last column: magnetic moment on the atom in μB.
Fractional coordinates of all 5 atoms:
Os1 0.0000 0.0000 0.0000  0.20
Hg1 0.0000 0.5000 0.0000  0.00
Hg2 0.0000 0.0000 0.5000  0.01
Hg3 0.5000 0.0000 0.0000  -0.01
Li1 0.5000 0.5000 0.5000  0.00

Summary:
Mass density in g cm⁻³: 9.1
SG: Pm-3m, No. 221
DOS(E_F) in states/eV/f.u.: 3.6

***

2) A plane-wave DFT calculation with PBE was carried out for a geometry-optimized LiHg3Os structure.

Cell: 4.5936 4.5936 4.5936 Å, 90.00 90.00 90.00°
Fractional coordinates of all 5 atoms:
Os1 0.5000 0.5000 0.5000
Hg1 0.0000 0.5000 0.0000
Hg2 0.0000 0.0000 0.5000
Hg3 0.5000 0.0000 0.0000
Li1 0.0000 0.0000 0.0000

Summary:
Mass density in g cm⁻³: 13.7
SG: Pm-3m, No. 221
DOS(E_F) in states/eV/f.u.: 5.4

***

Verdict on stability: 1) comes out on top.

***

1) A plane-wave DFT calculation with PBE was carried out for a geometry-optimized Li3HgP structure.

Cell: 4.7568 4.7568 4.7568 Å, 90.00 90.00 90.00°
Fractional coordinates of all 5 atoms:
P1 0.0000 0.0000 0.0000
Hg1 0.5000 0.5000 0.5000
Li1 0.0000 0.5000 0.0000
Li2 0.0000 0.0000 0.5000
Li3 0.5000 0.0000 0.0000

Summary:
Mass density in g cm⁻³: 3.9
SG: Pm-3m, No. 221
DOS(E_F) in states/eV/f.u.: 0.0

***

2) A plane-wave DFT calculation with PBE was carried out for a geometry-optimized Li3HgP structure.

Cell: 4.7742 4.7742 4.7742 Å, 90.00 90.00 90.00°
Fractional coordinates of all 5 atoms:
P1 0.5000 0.5000 0.5000
Hg1 0.0000 0.0000 0.0000
Li1 0.0000 0.5000 0.0000
Li2 0.0000 0.0000 0.5000
Li3 0.5000 0.0000 0.0000

Summary:
Mass density in g cm⁻³: 3.9
SG: Pm-3m, No. 221
DOS(E_F) in states/eV/f.u.: 0.2

***

Verdict on stability: 1) comes out on top.

***

1) A plane-wave DFT calculation with PBE was carried out for a geometry-optimized LiHg2P2 structure.

Cell: 6.4049 6.4049 5.2291 Å, 90.00 90.00 90.00°
Fractional coordinates of all 10 atoms:
P1 0.3805 0.8805 0.0000
P2 0.8805 0.6195 0.0000
P3 0.6195 0.1195 0.0000
P4 0.1195 0.3805 0.0000
Hg1 0.3273 0.8273 0.5000
Hg2 0.8273 0.6727 0.5000
Hg3 0.6727 0.1727 0.5000
Hg4 0.1727 0.3273 0.5000
Li1 0.0000 0.0000 0.0000
Li2 0.5000 0.5000 0.0000

Summary:
Mass density in g cm⁻³: 7.3
SG: P4/mbm, No. 127
DOS(E_F) in states/eV/f.u.: 2.3

***

2) A plane-wave DFT calculation with PBE was carried out for a geometry-optimized LiHg2P2 structure.

Cell: 4.1520 4.1520 6.9591 Å, 72.64 72.64 90.00°
Fractional coordinates of all 5 atoms:
P1 0.7500 0.2500 0.5000
P2 0.2500 0.7500 0.5000
Hg1 0.3922 0.3922 0.2156
Hg2 0.6078 0.6078 0.7844
Li1 0.0000 0.0000 0.0000

Summary:
Mass density in g cm⁻³: 7.2
SG: I4/mmm, No. 139
DOS(E_F) in states/eV/f.u.: 1.5

***

Verdict on stability: 1) comes out on top.

***

1) A plane-wave DFT calculation with PBE was carried out for a geometry-optimized Li2HgP2 structure.

Cell: 4.1332 4.1332 5.8621 Å, 69.36 69.36 90.00°
Fractional coordinates of all 5 atoms:
P1 0.3932 0.3932 0.2137
P2 0.6068 0.6068 0.7863
Hg1 0.0000 0.0000 0.0000
Li1 0.7500 0.2500 0.5000
Li2 0.2500 0.7500 0.5000

Summary:
Mass density in g cm⁻³: 5.3
SG: I4/mmm, No. 139
DOS(E_F) in states/eV/f.u.: 2.1

***

2) A plane-wave DFT calculation with PBE was carried out for a geometry-optimized Li2HgP2 structure.

Cell: 8.0669 8.0669 2.6156 Å, 90.00 90.00 90.00°
Fractional coordinates of all 10 atoms:
P1 0.1648 0.6648 0.5000
P2 0.6648 0.8352 0.5000
P3 0.8352 0.3352 0.5000
P4 0.3352 0.1648 0.5000
Hg1 0.0000 0.0000 0.0000
Hg2 0.5000 0.5000 0.0000
Li1 0.3705 0.8705 0.0000
Li2 0.8705 0.6295 0.0000
Li3 0.6295 0.1295 0.0000
Li4 0.1295 0.3705 0.0000

Summary:
Mass density in g cm⁻³: 5.4
SG: P4/mbm, No. 127
DOS(E_F) in states/eV/f.u.: 1.8

***

Verdict on stability: 1) comes out on top.

***

1) A plane-wave DFT calculation with PBE was carried out for a geometry-optimized LiHgPb3 structure.

Cell: 6.2853 8.8944 10.2381 Å, 107.20 90.00 90.00°
Fractional coordinates of all 20 atoms:
Li1 0.2300 0.6332 0.6607
Li2 0.7700 0.3668 0.3393
Li3 0.7300 0.3668 0.8393
Li4 0.2700 0.6332 0.1607
Hg1 0.0227 0.6956 0.4244
Hg2 0.9773 0.3044 0.5756
Hg3 0.5227 0.3044 0.0756
Hg4 0.4773 0.6956 0.9244
Pb1 0.9927 0.9968 0.6841
Pb2 0.0073 0.0032 0.3159
Pb3 0.4927 0.0032 0.8159
Pb4 0.5073 0.9968 0.1841
Pb5 0.5039 0.8051 0.4443
Pb6 0.4961 0.1949 0.5557
Pb7 0.0039 0.1949 0.0557
Pb8 0.9961 0.8051 0.9443
Pb9 0.7756 0.6173 0.1472
Pb10 0.2244 0.3827 0.8528
Pb11 0.2756 0.3827 0.3528
Pb12 0.7244 0.6173 0.6472

Summary:
Mass density in g cm⁻³: 10.1
SG: P2_1/c, No. 14
DOS(E_F) in states/eV/f.u.: 2.3

***

2) A plane-wave DFT calculation with PBE was carried out for a geometry-optimized LiHgPb3 structure.

Cell: 5.2279 5.2279 5.2279 Å, 90.00 90.00 90.00°
Fractional coordinates of all 5 atoms:
Pb1 0.0000 0.5000 0.0000
Pb2 0.0000 0.0000 0.5000
Pb3 0.5000 0.0000 0.0000
Hg1 0.5000 0.5000 0.5000
Li1 0.0000 0.0000 0.0000

Summary:
Mass density in g cm⁻³: 9.6
SG: Pm-3m, No. 221
DOS(E_F) in states/eV/f.u.: 2.9

***

3) A plane-wave DFT calculation with PBE was carried out for a geometry-optimized LiHgPb3 structure.

Cell: 6.5896 9.3284 9.3593 Å, 106.98 90.00 90.00°
Fractional coordinates of all 20 atoms:
Li1 0.4678 0.3230 0.0039
Li2 0.5322 0.6770 0.9961
Li3 0.9678 0.1770 0.4961
Li4 0.0322 0.8230 0.5039
Hg1 0.7748 0.5884 0.4788
Hg2 0.2252 0.4116 0.5212
Hg3 0.2748 0.9116 0.0212
Hg4 0.7252 0.0884 0.9788
Pb1 0.1213 0.2423 0.1903
Pb2 0.8787 0.7577 0.8097
Pb3 0.6213 0.2577 0.3097
Pb4 0.3787 0.7423 0.6903
Pb5 0.3278 0.6018 0.2696
Pb6 0.6722 0.3982 0.7304
Pb7 0.8278 0.8982 0.2304
Pb8 0.1722 0.1018 0.7696
Pb9 0.6688 0.0240 0.6404
Pb10 0.3312 0.9760 0.3596
Pb11 0.1688 0.4760 0.8596
Pb12 0.8312 0.5240 0.1404

Summary:
Mass density in g cm⁻³: 10.0
SG: P2_1/c, No. 14
DOS(E_F) in states/eV/f.u.: 1.9

***

Verdict on stability: 1) comes out on top.